Material: CaCoPb2
Method: DFT, PBE-GGA
State: relaxed Values from VASP.

Calculated values
The value obtained for the energy of formation is 0.144 eV per atom. For the calculated total energy, the calculation gives -3.987 eV per atom. The space group is Fm-3m, No. 225. Its calculated volume is 23.152 A^3/atom.

The structure in Quantum ESPRESSO input format:
```
&SYSTEM
  ibrav = 0, nat = 4, ntyp = 3
/
ATOMIC_SPECIES
Ca 40.08 Ca.upf
Co 58.93 Co.upf
Pb 207.20 Pb.upf
ATOMIC_POSITIONS crystal
Ca 0.0000 0.0000 0.0000
Co 0.5000 0.5000 0.5000
Pb 0.2500 0.2500 0.2500
Pb 0.7500 0.7500 0.7500
CELL_PARAMETERS angstrom
0.0000 3.5909 3.5909
3.5909 0.0000 3.5909
3.5909 3.5909 0.0000
```